! LiTc4Mo (PBE, optimized geometry); values from VASP
! * ΔH_f (0 K): 0.296 eV per atom
&SYSTEM
  ibrav = 0, nat = 6, ntyp = 3
/
ATOMIC_SPECIES
Li 6.94 Li.upf
Tc 98.00 Tc.upf
Mo 95.94 Mo.upf
CELL_PARAMETERS angstrom
4.2942 2.3795 1.3609
0.2581 2.4319 4.4692
2.8730 -1.8828 3.7624
ATOMIC_POSITIONS angstrom
Li 5.5689 2.1965 7.1943
Tc 4.9274 2.2852 4.2794
Tc 4.2192 0.1613 5.4760
Tc 2.9162 2.3113 5.8282
Tc 2.7877 1.0995 3.6013
Mo 0.0000 0.0000 0.0000

! Tb2SbCl2 (PBE, optimized geometry); values from VASP
! * calculated total energy: -5.055 eV per atom
&SYSTEM
  ibrav = 0, nat = 5, ntyp = 3
/
ATOMIC_SPECIES
Tb 158.93 Tb.upf
Sb 121.76 Sb.upf
Cl 35.45 Cl.upf
CELL_PARAMETERS angstrom
4.0752 0.0000 0.9496
1.9270 3.5908 0.9496
-0.3050 -0.1825 10.5278
ATOMIC_POSITIONS angstrom
Tb 3.6002 2.1538 2.9882
Tb 2.0970 1.2545 9.4388
Sb 0.0000 0.0000 0.0000
Cl 1.2537 0.7500 3.8388
Cl 4.4435 2.6583 8.5882

! U2PaSe6 (PBE, optimized geometry); values from VASP
! * calculated total energy: -6.973 eV per atom
&SYSTEM
  ibrav = 0, nat = 9, ntyp = 3
/
ATOMIC_SPECIES
U 238.03 U.upf
Pa 231.04 Pa.upf
Se 78.96 Se.upf
CELL_PARAMETERS angstrom
-2.1080 -4.7715 0.9219
2.1017 -4.9051 -5.3627
5.5670 -4.7895 3.1594
ATOMIC_POSITIONS angstrom
U 6.1761 -8.8000 -0.9859
U -0.6154 -5.6661 -0.2955
Pa 3.8343 -4.8473 -1.1016
Se 4.4984 -10.8064 0.0119
Se 1.0623 -3.6596 -1.2932
Se 1.0858 -9.8746 -2.9684
Se 3.7118 -7.8494 -1.7009
Se 4.4749 -4.5915 1.6870
Se 1.8489 -6.6167 0.4195

! RePIr2 (PBE, optimized geometry); values from VASP
! * ΔH_f (0 K): 0.365 eV per atom
&SYSTEM
  ibrav = 0, nat = 8, ntyp = 3
/
ATOMIC_SPECIES
Re 186.21 Re.upf
Ir 192.22 Ir.upf
P 30.97 P.upf
CELL_PARAMETERS angstrom
5.3560 0.0000 0.0000
0.0000 5.3560 0.0000
2.6780 2.6780 5.5735
ATOMIC_POSITIONS angstrom
Re 0.0000 0.0000 0.0000
Re 5.3560 2.6780 2.7868
Ir 3.8895 1.3390 1.3934
Ir 1.4665 4.0170 1.3934
Ir 4.0170 4.1445 4.1801
Ir 6.6951 6.5676 4.1801
P 2.6780 2.6780 0.0000
P 2.6780 5.3560 2.7868

! Co2SiC (PBE, optimized geometry); values from VASP
! * calculated total energy: -6.863 eV per atom
&SYSTEM
  ibrav = 0, nat = 8, ntyp = 3
/
ATOMIC_SPECIES
Si 28.09 Si.upf
Co 58.93 Co.upf
C 12.01 C.upf
CELL_PARAMETERS angstrom
-3.9232 2.0885 -1.7701
-2.4031 -1.1453 3.9749
-1.9679 4.2528 2.9146
ATOMIC_POSITIONS angstrom
Si 0.0000 0.0000 0.0000
Si -4.5271 3.4064 1.1235
Co -2.9259 2.0558 0.2629
Co -2.8028 0.7780 2.8480
Co -4.0434 3.4503 3.3354
Co -6.8164 4.1079 3.7925
C -3.1632 0.4716 1.1024
C -3.7671 1.7895 3.9960

! In7GaHg6 (PBE, optimized geometry); values from VASP
! * ΔH_f (0 K): 0.050 eV per atom
&SYSTEM
  ibrav = 0, nat = 28, ntyp = 3
/
ATOMIC_SPECIES
In 114.82 In.upf
Ga 69.72 Ga.upf
Hg 200.59 Hg.upf
CELL_PARAMETERS angstrom
-2.3526 -4.6571 -2.9422
8.8314 -2.8063 -8.7173
-2.0870 -8.5826 9.1566
ATOMIC_POSITIONS angstrom
In -3.5037 -11.9324 6.2991
In 7.8955 -4.1136 -8.8020
In 2.0119 -8.9324 -2.5672
In 2.3798 -7.1135 0.0643
In 3.8955 -5.1154 -5.3265
In -1.8371 -9.2039 1.9562
In 1.2181 -8.8425 5.0387
In 5.5070 -8.9302 -6.6743
In 0.4963 -10.9306 2.8236
In 6.2288 -6.8421 -4.4592
In 3.1736 -7.2035 -7.5416
In -1.1152 -7.1158 4.1713
In 1.0979 -4.0115 -0.6257
In 3.2938 -12.0345 -1.8772
Ga -0.0784 -6.3400 -2.0968
Ga 4.4701 -9.7060 -0.4061
Hg 1.3972 -4.0196 -3.8440
Hg -0.2584 -3.2212 2.1996
Hg 1.2560 -7.1738 -4.9497
Hg -0.3557 -6.2884 1.1490
Hg 2.9945 -12.0264 1.3411
Hg 4.6501 -12.8248 -4.7026
Hg 3.1358 -8.8721 2.4468
Hg 4.7474 -9.7575 -3.6519
Hg 4.0243 -6.0954 -2.3329
Hg 0.3674 -9.9506 -0.1700
Hg -1.5827 -9.2761 6.4192
Hg 5.9744 -6.7699 -8.9221

Record-wise Fermi-level density of states values, in states/eV/f.u.: 6.78; 1.91; 15.53; 1.94; 1.75; 5.48
Record-wise magnetic moment values, in μB/f.u.: 0.00; 0.00; 5.00; 0.00; 0.00; 0.00